No. 1
# SCAN Co3Ni2, PBEsol geometry
# **E_form**: 0.023 eV per atom
# **Total DFT energy (no corrections)**: -0.61844 Ha/atom
# **Space group**: R-3m, No. 166
# **Polymorph energy (0 for the lowest one)**: 0 meV/atom
data_Co3Ni2
_space_group_name_H-M_alt 'P 1'
_space_group_IT_number 1
_space_group_name_Hall 'P 1'
_cell_length_a 2.445
_cell_length_b 2.445
_cell_length_c 10.113
_cell_angle_alpha 83.06
_cell_angle_beta 83.06
_cell_angle_gamma 60.00
loop_
_atom_site_label
_atom_site_type_symbol
_atom_site_fract_x
_atom_site_fract_y
_atom_site_fract_z
Co1 Co 0.199 0.199 0.402
Ni1 Ni 0.600 0.600 0.200
Ni2 Ni 0.400 0.400 0.800
Co2 Co 0.000 0.000 0.000
Co3 Co 0.801 0.801 0.598


No. 2
# SCAN Ta7Mo, PBEsol geometry
# **E_form**: -0.044 eV per atom
# **Total DFT energy (no corrections)**: -2.30290 Ha/atom
# **Space group**: I4/mmm, No. 139
# **Polymorph energy (0 for the lowest one)**: 10 meV/atom
data_Ta7Mo
_space_group_name_H-M_alt 'P 1'
_space_group_IT_number 1
_space_group_name_Hall 'P 1'
_cell_length_a 4.603
_cell_length_b 4.603
_cell_length_c 7.298
_cell_angle_alpha 108.38
_cell_angle_beta 108.38
_cell_angle_gamma 90.00
loop_
_atom_site_label
_atom_site_type_symbol
_atom_site_fract_x
_atom_site_fract_y
_atom_site_fract_z
Ta1 Ta 0.878 0.378 0.756
Ta2 Ta 0.500 0.500 0.000
Ta3 Ta 0.378 0.878 0.756
Ta4 Ta 0.622 0.122 0.244
Ta5 Ta 0.252 0.252 0.504
Ta6 Ta 0.122 0.622 0.244
Mo1 Mo 0.000 0.000 0.000
Ta7 Ta 0.748 0.748 0.496


No. 3
# SCAN Zr2FeRh, PBEsol geometry
# **E_form**: 0.072 eV per atom
# **Total DFT energy (no corrections)**: -1.03827 Ha/atom
# **Space group**: R3m, No. 160
data_Zr2FeRh
_space_group_name_H-M_alt 'P 1'
_space_group_IT_number 1
_space_group_name_Hall 'P 1'
_cell_length_a 3.649
_cell_length_b 3.649
_cell_length_c 6.808
_cell_angle_alpha 74.45
_cell_angle_beta 74.45
_cell_angle_gamma 60.00
loop_
_atom_site_label
_atom_site_type_symbol
_atom_site_fract_x
_atom_site_fract_y
_atom_site_fract_z
Zr1 Zr 0.977 0.977 0.069
Zr2 Zr 0.777 0.777 0.669
Fe1 Fe 0.515 0.515 0.456
Rh1 Rh 0.231 0.231 0.306